CsCa2MoF8: optimized geometry, PBE with a Hubbard U. Values from VASP.

Geometry as Quantum ESPRESSO input:
```
&SYSTEM
  ibrav = 0, nat = 12, ntyp = 4
/
ATOMIC_SPECIES
Cs 132.91 Cs.upf
Ca 40.08 Ca.upf
Mo 95.94 Mo.upf
F 19.00 F.upf
CELL_PARAMETERS angstrom
5.240 0.000 0.000
0.104 5.450 0.000
0.120 0.158 7.571
ATOMIC_POSITIONS crystal
Cs 0.000 0.000 0.000
Ca 0.499 0.498 0.252
Ca 0.501 0.502 0.748
Mo 0.000 0.000 0.500
F 0.171 0.761 0.687
F 0.185 0.773 0.316
F 0.304 0.262 0.501
F 0.424 0.285 0.004
F 0.576 0.715 0.996
F 0.696 0.738 0.499
F 0.815 0.227 0.684
F 0.829 0.239 0.313
```

Values from the calculation:
E_tot   -5.467 eV per atom
Space group   No. 2
Size of the total moment   3.000 μB per formula unit